Here is a relaxed TbPrTmCd crystal from Alexandria. Energies are from PBE.

a = 5.5049 Å, b = 5.5049 Å, c = 5.5049 Å
α = 60.00°, β = 60.00°, γ = 60.00°
With the nearest neighbours (Å) after each atom.
Fractional positions:
Pr1 0.5000 0.5000 0.5000  4 Cd 3.37, 4 Tm 3.37
Tm1 0.2500 0.2500 0.2500  4 Tb 3.37, 4 Pr 3.37
Cd1 0.7500 0.7500 0.7500  4 Tb 3.37, 4 Pr 3.37
Tb1 0.0000 0.0000 0.0000  4 Cd 3.37, 4 Tm 3.37

Results
As for the symmetry: No. 216. The excess energy over the best structure of this formula in the dataset comes out at 106 meV per atom. The formation energy comes out at -43 meV/atom. The calculation puts the theoretical density at 8.18 g/cm3. The density of states at the Fermi level is 5.17 states/eV/cell.

***

Here is a relaxed TbPrTmCd crystal from Alexandria. Energies are from PBE.

a = 3.6372 Å, b = 3.6372 Å, c = 9.0064 Å
α = 90.00°, β = 90.00°, γ = 90.00°
With the nearest neighbours (Å) after each atom.
Fractional positions:
Tb1 0.5000 0.5000 0.7911  4 Cd 3.28, 4 Pr 3.62, 4 Tb 3.64
Pr1 0.0000 0.0000 0.0746  4 Tm 3.59, 4 Tb 3.62, 4 Pr 3.64
Tm1 0.5000 0.5000 0.3531  4 Cd 3.21, 4 Pr 3.59
Cd1 0.0000 0.0000 0.5659  4 Tm 3.21, 4 Tb 3.28

Results
As for the symmetry: No. 99. The excess energy over the best structure of this formula in the dataset comes out at 0 meV per atom. The formation energy comes out at -149 meV/atom. The calculation puts the theoretical density at 8.10 g/cm3. The density of states at the Fermi level is 3.85 states/eV/cell.

***

Here is a relaxed TbPrZnCd crystal from Alexandria. Energies are from PBE.

a = 3.6795 Å, b = 3.6795 Å, c = 7.6766 Å
α = 90.00°, β = 90.00°, γ = 90.00°
With the nearest neighbours (Å) after each atom.
Fractional positions:
Tb1 0.5000 0.5000 0.5870  4 Zn 3.07, 4 Cd 3.25
Cd1 0.0000 0.0000 0.8404  4 Tb 3.25, 4 Pr 3.40, 1 Zn 3.58
Pr1 0.5000 0.5000 0.1260  4 Zn 3.23, 4 Cd 3.40, 1 Tb 3.54
Zn1 0.0000 0.0000 0.3745  4 Tb 3.07, 4 Pr 3.23

Results
As for the symmetry: No. 99. The excess energy over the best structure of this formula in the dataset comes out at 0 meV per atom. The formation energy comes out at -323 meV/atom. The calculation puts the theoretical density at 7.63 g/cm3. The density of states at the Fermi level is 4.28 states/eV/cell.

***

Here is a relaxed TbPrZnCd crystal from Alexandria. Energies are from PBE.

a = 5.2945 Å, b = 5.2945 Å, c = 5.2945 Å
α = 60.00°, β = 60.00°, γ = 60.00°
With the nearest neighbours (Å) after each atom.
Fractional positions:
Zn1 0.2500 0.2500 0.2500  4 Tb 3.24, 4 Pr 3.24
Cd1 0.7500 0.7500 0.7500  4 Tb 3.24, 4 Pr 3.24
Pr1 0.0000 0.0000 0.0000  4 Zn 3.24, 4 Cd 3.24
Tb1 0.5000 0.5000 0.5000  4 Cd 3.24, 4 Zn 3.24

Results
As for the symmetry: No. 216. The excess energy over the best structure of this formula in the dataset comes out at 30 meV per atom. The formation energy comes out at -293 meV/atom. The calculation puts the theoretical density at 7.56 g/cm3. The density of states at the Fermi level is 4.92 states/eV/cell.

***

Here is a relaxed Pr3CdTc crystal from Alexandria. Energies are from PBE.

a = 6.6080 Å, b = 9.4271 Å, c = 10.5177 Å
α = 114.53°, β = 90.00°, γ = 90.00°
With the nearest neighbours (Å) after each atom.
Fractional positions:
Cd1 0.2173 0.0023 0.5080  1 Cd 2.88
Cd2 0.7827 0.9977 0.4920  1 Cd 2.88
Cd3 0.2827 0.5023 0.0080  1 Cd 2.88
Cd4 0.7173 0.4977 0.9920  1 Cd 2.88
Pr1 0.9925 0.6242 0.2950  1 Tc 2.86
Pr2 0.9787 0.8183 0.6921  3 Tc 3.03-3.38
Pr3 0.4910 0.6929 0.4687  2 Tc 2.90-2.95
Pr4 0.0090 0.1929 0.9687  2 Tc 2.90-2.95
Pr5 0.5075 0.1242 0.7950  1 Tc 2.86
Pr6 0.5213 0.3183 0.1921  3 Tc 3.03-3.38
Pr7 0.4925 0.8758 0.2050  1 Tc 2.86
Pr8 0.9910 0.8071 0.0313  2 Tc 2.90-2.95
Pr9 0.5090 0.3071 0.5313  2 Tc 2.90-2.95
Pr10 0.4787 0.6817 0.8079  3 Tc 3.03-3.38
Pr11 0.0075 0.3758 0.7050  1 Tc 2.86
Pr12 0.0213 0.1817 0.3079  3 Tc 3.03-3.38
Tc1 0.3232 0.0057 0.0270  1 Tc 2.40
Tc2 0.6768 0.9943 0.9730  1 Tc 2.40
Tc3 0.8232 0.4943 0.4730  1 Tc 2.40
Tc4 0.1768 0.5057 0.5270  1 Tc 2.40

Results
As for the symmetry: No. 14. The excess energy over the best structure of this formula in the dataset comes out at 0 meV per atom. The formation energy comes out at -57 meV/atom. The calculation puts the theoretical density at 7.06 g/cm3. The density of states at the Fermi level is 19.06 states/eV/cell.

***

Here is a relaxed Pr6CdTc2 crystal from Alexandria. Energies are from PBE.

a = 8.8837 Å, b = 8.8837 Å, c = 8.8837 Å
α = 106.68°, β = 110.25°, γ = 111.53°
With the nearest neighbours (Å) after each atom.
Fractional positions:
Pr1 0.2893 0.9761 0.6868  3 Tc 3.01-3.13
Pr2 0.0966 0.2870 0.8096  3 Tc 3.11-3.47, 1 Cd 3.46
Pr3 0.7847 0.2249 0.0096  1 Tc 2.93, 1 Cd 3.24
Pr4 0.2153 0.2249 0.4402  1 Tc 2.93, 1 Cd 3.24
Pr5 0.9034 0.7130 0.1904  3 Tc 3.11-3.47, 1 Cd 3.46
Pr6 0.2893 0.6025 0.3132  3 Tc 3.01-3.13
Pr7 0.4773 0.2870 0.1904  3 Tc 3.11-3.47, 1 Cd 3.46
Pr8 0.7107 0.3975 0.6868  3 Tc 3.01-3.13
Pr9 0.7107 0.0239 0.3132  3 Tc 3.01-3.13
Pr10 0.7847 0.7751 0.5598  1 Tc 2.93, 1 Cd 3.24
Pr11 0.5227 0.7130 0.8096  3 Tc 3.11-3.47, 1 Cd 3.46
Pr12 0.2153 0.7751 0.9904  1 Tc 2.93, 1 Cd 3.24
Tc1 0.3827 0.0000 0.3827  1 Tc 2.38
Tc2 0.6173 0.0000 0.6173  1 Tc 2.38
Tc3 0.5000 0.6109 0.1109  1 Tc 2.35
Tc4 0.5000 0.3891 0.8891  1 Tc 2.35
Cd1 0.0000 0.0000 0.0000  8 Pr 3.24-3.46
Cd2 0.0000 0.5000 0.5000  12 Pr 3.51-3.80

Results
As for the symmetry: No. 71. The formation energy comes out at -26 meV/atom. The calculation puts the theoretical density at 7.11 g/cm3. The density of states at the Fermi level is 18.95 states/eV/cell.

***

Q: theoretical density of number 6 (Pr6CdTc2)?
A: 7.11 g/cm3

***

Q: Which value of theoretical density does entry 6 give?
A: 7.11 g/cm3